# Mn2OsCl | the Alexandria database | GGA-PBEsol | optimized geometry
# - calculated volume (Å³ per cell) = 50
# - polymorph energy (0 for the lowest one) (kcal/mol of atoms) = 0.00
# - ΔE_f (raw) (eV/atom) = 0.31
data_Mn2OsCl
_symmetry_space_group_name_H-M 'P 4/m m m'
_symmetry_Int_Tables_number 123
_symmetry_space_group_name_Hall '-P 4 2'
_cell_length_a 2.734
_cell_length_b 2.734
_cell_length_c 6.733
_cell_angle_alpha 90.00
_cell_angle_beta 90.00
_cell_angle_gamma 90.00
loop_
_atom_site_label
_atom_site_type_symbol
_atom_site_fract_x
_atom_site_fract_y
_atom_site_fract_z
Mn1 Mn 0.000 0.000 0.247
Os1 Os 0.500 0.500 0.500
Cl1 Cl 0.500 0.500 0.000